No. 1
GGA-PBE Hg4PI4, relaxed; E_form (uncorrected) = -0.0894 eV per atom; space-group type = P4_2/n, No. 86
1.0
-1.5738 -0.3044 4.5282
11.0783 -4.7752 3.5293
4.2778 11.5996 2.2667
Hg I P
8 8 2
Direct
0.0326 0.2118 0.0849
0.9674 0.7882 0.9151
0.0326 0.2882 0.4151
0.5326 0.5849 0.7882
0.4674 0.0849 0.2882
0.4674 0.4151 0.2118
0.5326 0.9151 0.7118
0.9674 0.7118 0.5849
0.4687 0.3209 0.5551
0.9687 0.4449 0.8209
0.4687 0.1791 0.9449
0.0313 0.9449 0.3209
0.5313 0.6791 0.4449
0.0313 0.5551 0.1791
0.9687 0.0551 0.6791
0.5313 0.8209 0.0551
0.2500 0.7500 0.7500
0.7500 0.2500 0.2500


No. 2
GGA-PBE Nd2SmDyTl2, relaxed; energy of formation = -0.271 eV/atom; space-group type = Pmc2_1, No. 26
1.0
-3.5779 0.5105 -3.7425
4.2649 -3.0831 -4.4978
-3.9323 -9.1108 2.5166
Dy Sm Tl Nd
2 2 4 4
Direct
0.5000 0.6809 0.3144
0.5000 0.1809 0.6856
0.0000 0.9614 0.4570
0.0000 0.4614 0.5430
0.5000 0.7203 0.6275
0.0000 0.7974 0.1434
0.0000 0.2974 0.8566
0.5000 0.2203 0.3725
0.0000 0.3292 0.1841
0.5000 0.5564 0.9554
0.0000 0.8292 0.8159
0.5000 0.0564 0.0446


No. 3
GGA-PBE La6Hg3Pt, relaxed; energy of formation = -0.499 eV/atom; space-group type = P2_1/c, No. 14
1.0
-3.6227 4.1450 -0.9614
-2.7543 -0.3385 8.9191
8.3729 7.9834 2.8886
La Hg Pt
12 6 2
Direct
0.5035 0.4893 0.2592
0.5032 0.1520 0.9389
0.9981 0.6839 0.9408
0.4965 0.5107 0.7408
0.9965 0.9893 0.2408
0.0035 0.0107 0.7592
0.9968 0.6520 0.5611
0.0019 0.3161 0.0592
0.0032 0.3480 0.4389
0.4968 0.8480 0.0611
0.5019 0.1839 0.5592
0.4981 0.8161 0.4408
0.9963 0.3514 0.7688
0.0000 0.0000 0.5000
0.4963 0.1486 0.2688
0.5037 0.8514 0.7312
0.5000 0.5000 0.0000
0.0037 0.6486 0.2312
0.5000 0.5000 0.5000
0.0000 0.0000 0.0000


No. 4
GGA-PBE Ga2AgS3, relaxed; E_form (uncorrected) = -0.4088 eV per atom; space-group type = C2/m, No. 12
1.0
-3.2815 -1.4127 -0.4617
1.8351 -1.6208 -8.0841
4.3911 -7.3845 5.4398
Ga S Ag
4 6 2
Direct
0.7268 0.3600 0.4536
0.0562 0.1729 0.1124
0.2732 0.6400 0.5464
0.9438 0.8271 0.8876
0.0648 0.9066 0.1295
0.2364 0.1848 0.4727
0.7636 0.8152 0.5273
0.9352 0.0934 0.8705
0.6010 0.3404 0.2020
0.3990 0.6596 0.7980
0.6528 0.8796 0.3056
0.3472 0.1204 0.6944


No. 5
GGA-PBE FeCo2Ag, relaxed; energy of formation = 0.305 eV/atom; space-group type = C2/m, No. 12; distance to the lowest polymorph of the same formula = 90 meV/atom
1.0
4.4679 0.0042 -0.0028
3.6612 2.5609 -0.0028
0.9222 0.2910 4.5505
Fe Ag Co
1 1 2
Direct
0.7500 0.7500 0.7500
0.2500 0.2500 0.2500
0.0106 0.0106 0.9674
0.4894 0.4894 0.5326


No. 6
GGA-PBE Li7Pt6, relaxed; energy of formation = -0.361 eV/atom; space-group type = R-3m, No. 166
1.0
9.3371 0.0110 0.0067
8.1358 4.5814 0.0067
8.1358 2.1384 4.0518
Li Pt
7 6
Direct
0.0788 0.5921 0.5921
0.5921 0.5921 0.0788
0.4079 0.4079 0.9212
0.9212 0.4079 0.4079
0.5921 0.0788 0.5921
0.4079 0.9212 0.4079
0.5000 0.5000 0.5000
0.9514 0.9514 0.9514
0.1495 0.1495 0.1495
0.6649 0.6649 0.6649
0.8505 0.8505 0.8505
0.3351 0.3351 0.3351
0.0486 0.0486 0.0486


No. 7
GGA-PBE MgTi6H4O14, relaxed; space-group type = P1, No. 1; distance to the lowest polymorph of the same formula = 0 meV/atom
1.0
-3.8202 -0.9146 -0.1518
0.1804 -3.4398 6.8008
-2.0352 6.8921 5.8774
Ti O H Mg
6 14 4 1
Direct
0.7873 0.2508 0.1706
0.7695 0.3496 0.4801
0.2454 0.6658 0.5035
0.2621 0.5144 0.2109
0.2197 0.7504 0.8266
0.7503 0.4822 0.7811
0.8391 0.9958 0.1460
0.7635 0.4830 0.2501
0.2404 0.7562 0.2956
0.7450 0.6456 0.5259
0.2405 0.6542 0.0242
0.1365 0.0105 0.8733
0.2654 0.4194 0.4530
0.2480 0.5310 0.7381
0.2252 0.8735 0.5925
0.7231 0.7537 0.7904
0.7825 0.2801 0.6808
0.7682 0.1471 0.4167
0.2828 0.2599 0.1901
0.7703 0.3612 0.9687
0.0192 0.1129 0.8021
0.6258 0.9326 0.1567
0.0200 0.0046 0.9717
0.0733 0.8585 0.2362
0.7202 0.9258 0.5739


No. 8
GGA-PBE CeInSn, relaxed; energy of formation = -0.468 eV/atom; space-group type = Cmcm, No. 63; distance to the lowest polymorph of the same formula = 0 meV/atom
1.0
-2.1154 2.1165 -3.6320
3.7025 -4.3947 -1.6687
-4.8329 -4.2092 0.3620
Ce In Sn
2 2 2
Direct
0.8317 0.1633 0.7500
0.1683 0.8367 0.2500
0.5000 0.5000 0.5000
0.5000 0.5000 0.0000
0.1318 0.7635 0.7500
0.8682 0.2365 0.2500


No. 9
GGA-PBE KRuPt2, relaxed; energy of formation = 0.191 eV/atom; space-group type = P1, No. 1; distance to the lowest polymorph of the same formula = 41 meV/atom
1.0
4.6775 -0.0057 0.0016
0.7546 6.0533 -0.0035
2.2602 2.7619 5.6783
Pt Ru K
4 2 2
Direct
0.0975 0.1214 0.8058
0.3050 0.2840 0.3395
0.9033 0.2528 0.1537
0.4412 0.7099 0.9083
0.6888 0.1364 0.6065
0.5189 0.2769 0.9208
0.7478 0.7139 0.2666
0.1165 0.7030 0.5791


No. 10
GGA-PBE Ca2MoP, relaxed; energy of formation = -0.167 eV/atom; space-group type = Amm2, No. 38
1.0
4.0994 0.0000 0.0000
0.0000 4.2696 -0.0003
0.0000 2.1371 5.5882
Ca Mo P
2 1 1
Direct
0.0000 0.9790 0.9170
0.5000 0.2733 0.3284
0.0000 0.6748 0.5254
0.5000 0.5729 0.7292


No. 11
GGA-PBE PrNdNi2H8, relaxed; space-group type = R-3m, No. 166
1.0
4.5808 0.0000 0.0000
2.2904 3.9671 0.0000
2.2904 1.3224 6.3967
H Pr Ni Nd
8 1 2 1
Direct
0.4552 0.9157 0.1739
0.0843 0.5448 0.8261
0.4552 0.4552 0.1739
0.5448 0.5448 0.8261
0.5448 0.0843 0.8261
0.1572 0.1572 0.5285
0.9157 0.4552 0.1739
0.8428 0.8428 0.4715
0.5000 0.5000 0.5000
0.7590 0.7590 0.7229
0.2410 0.2410 0.2771
0.0000 0.0000 0.0000


No. 12
GGA-PBE CsBe3Ag, relaxed; energy of formation = 2.404 eV/atom; space-group type = Pm-3m, No. 221; distance to the lowest polymorph of the same formula = 1519 meV/atom
1.0
-3.8660 1.6077 4.9416
-0.7582 -6.2677 1.4460
5.1410 0.2846 3.9293
Be Ag Cs
3 1 1
Direct
0.0000 0.5000 0.0000
0.5000 0.0000 0.0000
0.0000 0.0000 0.5000
0.5000 0.5000 0.5000
0.0000 0.0000 0.0000


no.,electronic total energy (eV/atom)
1,-1.51
2,-4.20
3,-4.15
4,-3.96
5,-6.08
6,-4.18
7,-7.73
8,-4.69
9,-5.42
10,-5.23
11,-4.31
12,-0.57